Density functional theory data (GGA+U) for NiBrO after structural relaxation. Values from VASP.

Computed properties:
**Mass density**: 4.4 g/cm³
**E**: -3.458 eV/atom
**Volume**: 19.55 Å³/atom
**Size of the total moment**: 1.18 μB per formula unit
**Space-group type**: C2/m (12)

Quantum ESPRESSO input file:
```
&SYSTEM
  ibrav = 0, nat = 12, ntyp = 3
/
ATOMIC_SPECIES
O 16.00 O.upf
Ni 58.69 Ni.upf
Br 79.90 Br.upf
CELL_PARAMETERS angstrom
6.340 0.000 -0.892
0.000 3.623 0.000
-3.401 0.000 10.693
ATOMIC_POSITIONS angstrom
O 5.123 0.000 1.018
O -0.484 1.811 3.437
O 3.423 1.811 6.365
O -2.185 0.000 8.783
Ni -0.868 0.000 3.794
Ni -2.568 1.811 9.140
Ni 3.806 0.000 6.008
Ni 5.507 1.811 0.661
Br 3.036 0.000 3.710
Br 1.335 1.811 9.056
Br 1.604 1.811 0.745
Br -0.097 0.000 6.092
```